[1]
Entry from Alexandria via LeMat-Bulk: a relaxed structure of Ac12ErPb6 (PBE).

CIF file:
```
data_Ac12ErPb6
_chemical_formula_sum 'Ac36 Er3 Pb18'
_cell_length_a 14.9315
_cell_length_b 14.9315
_cell_length_c 13.2487
_cell_angle_alpha 90.00
_cell_angle_beta 90.00
_cell_angle_gamma 120.00
_symmetry_space_group_name_H-M 'R -3'
_symmetry_Int_Tables_number 148
_symmetry_space_group_name_Hall '-R 3'
loop_
_atom_site_label
_atom_site_type_symbol
_atom_site_fract_x
_atom_site_fract_y
_atom_site_fract_z
_atom_site_occupancy
Ac1 Ac 0.0303 0.8330 0.3839 1
Ac2 Ac 0.0550 0.8465 0.8819 1
Er1 Er 0.0000 0.0000 0.0000 1
Pb1 Pb 0.0447 0.7681 0.6409 1
```

Summary:
Calculated volume ... 44.9 Å³/atom
Raw total energy ... -4.10 eV/atom
D(E_F) ... 69.63 states/eV per cell
Formation energy ... -0.10 eV per atom

=====

[2]
Entry from Alexandria via LeMat-Bulk: a relaxed structure of AcEr2Pb3 (PBE).

CIF file:
```
data_AcEr2Pb3
_chemical_formula_sum 'Ac2 Er4 Pb6'
_cell_length_a 4.937
_cell_length_b 10.248
_cell_length_c 7.589
_cell_angle_alpha 90.00
_cell_angle_beta 90.00
_cell_angle_gamma 90.00
_symmetry_space_group_name_H-M 'P m c 21'
_symmetry_Int_Tables_number 26
_symmetry_space_group_name_Hall 'P 2c -2'
loop_
_atom_site_label
_atom_site_type_symbol
_atom_site_fract_x
_atom_site_fract_y
_atom_site_fract_z
_atom_site_occupancy
Ac1 Ac 0.000 0.083 0.000 1
Er1 Er 0.000 0.286 0.501 1
Er2 Er 0.500 0.484 0.205 1
Pb1 Pb 0.000 0.415 0.942 1
Pb2 Pb 0.500 0.160 0.704 1
Pb3 Pb 0.500 0.163 0.296 1
```

Summary:
Calculated volume ... 32.0 Å³/atom
Raw total energy ... -4.50 eV/atom
D(E_F) ... 7.71 states/eV per cell
Formation energy ... -0.44 eV per atom

=====

[3]
Entry from Alexandria via LeMat-Bulk: a relaxed structure of AcErPb2 (PBE).

CIF file:
```
data_AcErPb2
_chemical_formula_sum 'Ac3 Er3 Pb6'
_cell_length_a 3.8814
_cell_length_b 3.8814
_cell_length_c 30.4959
_cell_angle_alpha 90.00
_cell_angle_beta 90.00
_cell_angle_gamma 120.00
_symmetry_space_group_name_H-M 'R -3 m'
_symmetry_Int_Tables_number 166
_symmetry_space_group_name_Hall '-R 3 2"'
loop_
_atom_site_label
_atom_site_type_symbol
_atom_site_fract_x
_atom_site_fract_y
_atom_site_fract_z
_atom_site_occupancy
Ac1 Ac 0.0000 0.0000 0.0000 1
Er1 Er 0.0000 0.0000 0.5000 1
Pb1 Pb 0.0000 0.0000 0.2432 1
```

Summary:
Calculated volume ... 33.2 Å³/atom
Raw total energy ... -4.33 eV/atom
D(E_F) ... 8.38 states/eV per cell
Formation energy ... -0.31 eV per atom

=====

[4]
Entry from Alexandria via LeMat-Bulk: a relaxed structure of Ac3Er2Pb4 (PBE).

CIF file:
```
data_Ac3Er2Pb4
_chemical_formula_sum 'Ac6 Er4 Pb8'
_cell_length_a 14.072
_cell_length_b 4.873
_cell_length_c 10.296
_cell_angle_alpha 90.00
_cell_angle_beta 115.10
_cell_angle_gamma 90.00
_symmetry_space_group_name_H-M 'C 1 2/m 1'
_symmetry_Int_Tables_number 12
_symmetry_space_group_name_Hall '-C 2y'
loop_
_atom_site_label
_atom_site_type_symbol
_atom_site_fract_x
_atom_site_fract_y
_atom_site_fract_z
_atom_site_occupancy
Ac1 Ac 0.000 0.000 0.000 1
Ac2 Ac 0.122 0.500 0.700 1
Er1 Er 0.185 0.500 0.356 1
Pb1 Pb 0.076 0.000 0.408 1
Pb2 Pb 0.203 0.500 0.067 1
```

Summary:
Calculated volume ... 35.5 Å³/atom
Raw total energy ... -4.48 eV/atom
D(E_F) ... 14.03 states/eV per cell
Formation energy ... -0.45 eV per atom

=====

Question: Which formula does entry 4 have?
Answer: Ac3Er2Pb4

=====

Question: What is the formation energy in the second record?
Answer: -0.44 eV per atom